# 1
! MgSc2AlCu2Au2 (GGA-PBE, relaxed); values from VASP
&SYSTEM
  ibrav = 0, nat = 8, ntyp = 5
/
ATOMIC_SPECIES
Mg 24.30 Mg.upf
Sc 44.96 Sc.upf
Al 26.98 Al.upf
Cu 63.55 Cu.upf
Au 196.97 Au.upf
ATOMIC_POSITIONS crystal
Mg 0.000 0.000 0.000
Sc 0.000 0.000 0.500
Sc 0.500 0.500 0.000
Al 0.500 0.500 0.500
Cu 0.000 0.500 0.740
Cu 0.500 0.000 0.260
Au 0.000 0.500 0.257
Au 0.500 0.000 0.743
CELL_PARAMETERS angstrom
4.569 0.000 0.000
0.000 4.569 0.000
0.000 0.000 6.544
! spin magnetization	0.0	μB per formula unit
! electronic total energy	-36.14	eV/f.u.

=====

# 2
! Tm3MgAl2CuAu2 (GGA-PBE, relaxed); values from VASP
&SYSTEM
  ibrav = 0, nat = 9, ntyp = 5
/
ATOMIC_SPECIES
Tm 168.93 Tm.upf
Mg 24.30 Mg.upf
Al 26.98 Al.upf
Cu 63.55 Cu.upf
Au 196.97 Au.upf
ATOMIC_POSITIONS crystal
Tm 0.000 0.000 0.000
Tm 0.000 0.187 0.601
Tm 0.000 0.601 0.187
Mg 0.500 0.361 0.361
Al 0.500 0.601 0.833
Al 0.500 0.833 0.601
Cu 0.000 0.611 0.611
Au 0.500 0.266 0.928
Au 0.500 0.928 0.266
CELL_PARAMETERS angstrom
4.014 0.000 0.000
0.000 6.223 3.680
0.000 -6.223 3.680
! spin magnetization	0.0	μB per formula unit
! electronic total energy	-38.56	eV/f.u.

=====

> Look up the electronic total energy of the first one.

-36.14 eV/f.u.

=====

> Which formula does entry 1 have?

MgSc2AlCu2Au2

=====

> What is the electronic total energy in the first record?

-36.14 eV/f.u.